DFT (PBE) results for crystalline Ac3Sn2SbPd6 at its relaxed geometry.

Size of the total moment, μB/cell: 0.00
Raw formation energy, eV/atom: -0.7618

Lattice parameters (Å, degrees): 6.1022 6.1022 9.1168 90.00 90.00 120.00
Last column: nearest neighbours and their distance in Å.
Atoms (fractional coordinates):
Ac 0.3333 0.6667 0.6415  6 Pd 3.12
Ac 0.6667 0.3333 0.3585  6 Pd 3.12
Ac 0.0000 0.0000 0.0000  6 Pd 3.21, 6 Sn 3.55
Sn 0.6667 0.3333 0.9552  3 Pd 2.76
Sn 0.3333 0.6667 0.0448  3 Pd 2.76
Sb 0.0000 0.0000 0.5000  6 Pd 2.69
Pd 0.6471 0.8236 0.2868  1 Sb 2.69, 1 Sn 2.76, 2 Pd 2.87
Pd 0.1764 0.3529 0.2868  1 Sb 2.69, 1 Sn 2.76, 2 Pd 2.87
Pd 0.1764 0.8236 0.2868  1 Sb 2.69, 1 Sn 2.76, 2 Pd 2.87
Pd 0.8236 0.6471 0.7132  1 Sb 2.69, 1 Sn 2.76, 2 Pd 2.87
Pd 0.3529 0.1764 0.7132  1 Sb 2.69, 1 Sn 2.76, 2 Pd 2.87
Pd 0.8236 0.1764 0.7132  1 Sb 2.69, 1 Sn 2.76, 2 Pd 2.87